(1)
The following is a DFT calculation (PBE) of crystalline LiPrMg at its relaxed geometry.

The structure belongs to space group F-43m (No. 216); the cell edges are 7.0196, 7.0196 and 7.0196 Å and the angles 90.00°, 90.00° and 90.00°. The asymmetric unit holds Li at (0.0000, 0.0000, 0.0000), Pr at (0.2500, 0.2500, 0.2500) and Mg at (0.2500, 0.2500, 0.7500).

For the total magnetization, the calculation gives 0.0 Bohr magnetons per cell. The total energy comes out at -2.462 eV per atom.

(2)
The following is a DFT calculation (PBE) of crystalline Li2MgPt at its relaxed geometry.

The structure belongs to space group F-43m (No. 216); the cell edges are 6.2302, 6.2302 and 6.2302 Å and the angles 90.00°, 90.00° and 90.00°. The asymmetric unit holds Li at (0.0000, 0.0000, 0.0000), Li at (0.2500, 0.2500, 0.2500), Mg at (0.2500, 0.2500, 0.7500) and Pt at (0.0000, 0.0000, 0.5000).

For the total magnetization, the calculation gives 0.0 Bohr magnetons per cell. The total energy comes out at -3.393 eV per atom.

(3)
The following is a DFT calculation (PBE) of crystalline LiMg2Pt2 at its relaxed geometry.

The structure belongs to space group P4/mbm (No. 127); the cell edges are 7.6442, 7.6442 and 2.9404 Å and the angles 90.00°, 90.00° and 90.00°. The asymmetric unit holds Li at (0.0000, 0.0000, 0.0000), Mg at (0.1478, 0.3522, 0.5000) and Pt at (0.1493, 0.6493, 0.0000).

For the total magnetization, the calculation gives 0.0 Bohr magnetons per cell. The total energy comes out at -4.122 eV per atom.